The following is a PBE-GGA calculation of a relaxed structure of MnCrW2, from Alexandria.

The structure in POSCAR format:
```
MnCrW2
1.0
4.960 -0.013 0.006
4.008 2.922 0.006
1.935 0.628 3.883
W Cr Mn
2 1 1
direct
0.996 0.996 0.004 W
0.504 0.504 0.496 W
0.250 0.250 0.250 Cr
0.750 0.750 0.750 Mn
```

Values from the calculation:
total DFT energy (no corrections) = -11.0309 eV/atom
polymorph energy (0 for the lowest one) = 0.075 eV per atom
formation enthalpy at 0 K = 0.14 eV per atom
SG = Immm, No. 71